A relaxed Pm2Ni3Ge4Os crystal, computed with PBE.

Properties
ΔE_f = -0.630 eV per atom
raw total energy = -6.285 eV per atom
SG = P-4m2, No. 115

Cell lengths 4.134, 4.134, 9.964 Å; angles 90.00, 90.00, 90.00 degrees
Fractional coordinates of all 10 atoms:
1 Pm 0.000 0.500 0.241
2 Pm 0.500 0.000 0.759
3 Ni 0.000 0.500 0.876
4 Ni 0.500 0.000 0.124
5 Ni 0.500 0.500 0.500
6 Ge 0.000 0.000 0.000
7 Ge 0.000 0.500 0.636
8 Ge 0.500 0.000 0.364
9 Ge 0.500 0.500 0.000
10 Os 0.000 0.000 0.500